(i)
A geometry-optimized AlTc2Te structure. Source: the Alexandria database, functional PBEsol.

It has space group Fm-3m (No. 225), with a = 6.235 Å, b = 6.235 Å, c = 6.235 Å, α = 90.00°, β = 90.00° and γ = 90.00°. The inequivalent atoms are Al at (0.000, 0.000, 0.000), Tc at (0.250, 0.250, 0.250) and Te at (0.000, 0.000, 0.500).



(ii)
A geometry-optimized AlTc2Te structure. Source: the Alexandria database, functional PBEsol.

It has space group R3m (No. 160, hexagonal axes), with a = 3.0484 Å, b = 3.0484 Å, c = 24.9991 Å, α = 90.00°, β = 90.00° and γ = 120.00°. The inequivalent atoms are Al at (0.0000, 0.0000, 0.0000), Tc at (0.0000, 0.0000, 0.2587), Tc at (0.0000, 0.0000, 0.5131) and Te at (0.0000, 0.0000, 0.7644).



The data favor (i); the next most stable structure lies 0.245 eV/atom above it.



(i)
A geometry-optimized LiCuPO4 structure. Source: the Alexandria database, functional PBEsol.

It has space group I-4 (No. 82), with a = 4.954 Å, b = 4.954 Å, c = 6.505 Å, α = 90.00°, β = 90.00° and γ = 90.00°. The inequivalent atoms are Li at (0.000, 0.000, 0.000), Cu at (0.000, 0.000, 0.500), P at (0.000, 0.500, 0.250) and O at (0.181, 0.686, 0.383).



(ii)
A geometry-optimized LiCuPO4 structure. Source: the Alexandria database, functional PBEsol.

It has space group Pnma (No. 62), with a = 9.235 Å, b = 6.090 Å, c = 4.934 Å, α = 90.00°, β = 90.00° and γ = 90.00°. The inequivalent atoms are Li at (0.000, 0.000, 0.000), Cu at (0.149, 0.250, 0.465), P at (0.190, 0.750, 0.466), O at (0.114, 0.547, 0.342), O at (0.147, 0.250, 0.889) and O at (0.165, 0.750, 0.777).



The data favor (i); the next most stable structure lies 0.036 eV/atom above it.



(i)
A geometry-optimized AgP2 structure. Source: the Alexandria database, functional PBEsol.

It has space group Cmcm (No. 63), with a = 3.507 Å, b = 17.756 Å, c = 3.190 Å, α = 90.00°, β = 90.00° and γ = 90.00°. The inequivalent atoms are Ag at (0.000, 0.117, 0.250), P at (0.000, 0.259, 0.750) and P at (0.000, 0.456, 0.250).



(ii)
A geometry-optimized AgP2 structure. Source: the Alexandria database, functional PBEsol.

It has space group C2/m (No. 12), with a = 8.320 Å, b = 3.195 Å, c = 7.577 Å, α = 90.00°, β = 91.33° and γ = 90.00°. The inequivalent atoms are Ag at (0.144, 0.000, 0.389), P at (0.083, 0.500, 0.731) and P at (0.121, 0.000, 0.935).



The data favor (ii); the next most stable structure lies 0.182 eV/atom above it.



(i)
A geometry-optimized AgAu3 structure. Source: the Alexandria database, functional PBEsol.

It has space group I4/mmm (No. 139), with a = 4.062 Å, b = 4.062 Å, c = 8.144 Å, α = 90.00°, β = 90.00° and γ = 90.00°. The inequivalent atoms are Ag at (0.000, 0.000, 0.000), Au at (0.000, 0.000, 0.500) and Au at (0.000, 0.500, 0.250).



(ii)
A geometry-optimized AgAu3 structure. Source: the Alexandria database, functional PBEsol.

It has space group Pnma (No. 62), with a = 4.909 Å, b = 9.458 Å, c = 5.791 Å, α = 90.00°, β = 90.00° and γ = 90.00°. The inequivalent atoms are Ag at (0.087, 0.250, 0.125), Au at (0.090, 0.250, 0.624) and Au at (0.249, 0.000, 0.375).



The data favor (i); the next most stable structure lies 0.010 eV/atom above it.



(i)
A geometry-optimized MoIr2Rh structure. Source: the Alexandria database, functional PBEsol.

It has space group P4/mmm (No. 123), with a = 3.843 Å, b = 3.843 Å, c = 3.813 Å, α = 90.00°, β = 90.00° and γ = 90.00°. The inequivalent atoms are Mo at (0.000, 0.000, 0.000), Ir at (0.000, 0.500, 0.500) and Rh at (0.500, 0.500, 0.000).



(ii)
A geometry-optimized MoIr2Rh structure. Source: the Alexandria database, functional PBEsol.

It has space group P4/mmm (No. 123), with a = 2.711 Å, b = 2.711 Å, c = 7.696 Å, α = 90.00°, β = 90.00° and γ = 90.00°. The inequivalent atoms are Mo at (0.000, 0.000, 0.000), Ir at (0.500, 0.500, 0.250) and Rh at (0.000, 0.000, 0.500).



The data favor (i); the next most stable structure lies 0.098 eV/atom above it.



(i)
A geometry-optimized ScTa2Au structure. Source: the Alexandria database, functional PBEsol.

It has space group I-4m2 (No. 119), with a = 4.113 Å, b = 4.113 Å, c = 8.475 Å, α = 90.00°, β = 90.00° and γ = 90.00°. The inequivalent atoms are Sc at (0.000, 0.000, 0.000), Ta at (0.000, 0.000, 0.500), Ta at (0.000, 0.500, 0.250) and Au at (0.000, 0.500, 0.750).



(ii)
A geometry-optimized ScTa2Au structure. Source: the Alexandria database, functional PBEsol.

It has space group R3m (No. 160, hexagonal axes), with a = 2.9939 Å, b = 2.9939 Å, c = 28.4029 Å, α = 90.00°, β = 90.00° and γ = 120.00°. The inequivalent atoms are Sc at (0.0000, 0.0000, 0.0000), Ta at (0.0000, 0.0000, 0.2485), Ta at (0.0000, 0.0000, 0.4974) and Au at (0.0000, 0.0000, 0.7501).



The data favor (i); the next most stable structure lies 0.056 eV/atom above it.